1.
A geometry-optimized AcDyRuO6 structure, computed with PBE-GGA.

Lattice parameters (Å, degrees): 5.550 5.550 5.274 90.00 90.00 120.00
Atoms (fractional coordinates):
Ac (0.000, 0.000, 0.000)
Dy (0.333, 0.667, 0.500)
Ru (0.667, 0.333, 0.500)
O (0.382, 0.040, 0.712)
O (0.382, 0.342, 0.288)
O (0.658, 0.040, 0.288)
O (0.658, 0.618, 0.712)
O (0.960, 0.342, 0.712)
O (0.960, 0.618, 0.288)

space group = P312
ΔE_f (raw) = -2.275 eV per atom
ρ = 6.92 Mg/m³


2.
A geometry-optimized AcDy2RuO8 structure, computed with PBE-GGA.

Lattice parameters (Å, degrees): 5.090 7.031 5.094 90.00 90.82 90.00
Atoms (fractional coordinates):
Ac (0.000, 0.000, 0.000)
Dy (0.500, 0.255, 0.500)
Dy (0.500, 0.745, 0.500)
Ru (0.000, 0.500, 0.000)
O (0.188, 0.303, 0.186)
O (0.188, 0.697, 0.186)
O (0.266, 0.500, 0.732)
O (0.322, 0.000, 0.674)
O (0.678, 0.000, 0.326)
O (0.734, 0.500, 0.268)
O (0.812, 0.303, 0.814)
O (0.812, 0.697, 0.814)

space group = P2/m
ΔE_f (raw) = -2.362 eV per atom
ρ = 7.12 Mg/m³


3.
A geometry-optimized AcDyS2O8 structure, computed with PBE-GGA.

Lattice parameters (Å, degrees): 5.600 5.600 7.348 90.00 90.00 120.00
Atoms (fractional coordinates):
Ac (0.000, 0.000, 0.000)
Dy (0.000, 0.000, 0.500)
S (0.333, 0.667, 0.247)
S (0.667, 0.333, 0.753)
O (0.166, 0.332, 0.283)
O (0.166, 0.834, 0.283)
O (0.332, 0.166, 0.717)
O (0.333, 0.667, 0.042)
O (0.667, 0.333, 0.958)
O (0.668, 0.834, 0.283)
O (0.834, 0.166, 0.717)
O (0.834, 0.668, 0.717)

space group = P-3m1
ΔE_f (raw) = -1.915 eV per atom
ρ = 4.84 Mg/m³


4.
A geometry-optimized AcDySO2 structure, computed with PBE-GGA.

Lattice parameters (Å, degrees): 4.161 4.161 6.264 90.00 90.00 90.00
Atoms (fractional coordinates):
Ac (0.000, 0.000, 0.000)
Dy (0.500, 0.500, 0.360)
S (0.500, 0.500, 0.788)
O (0.000, 0.500, 0.231)
O (0.500, 0.000, 0.231)

space group = P4mm
ΔE_f (raw) = -3.126 eV per atom
ρ = 6.95 Mg/m³


5.
A geometry-optimized AcDy2SbO8 structure, computed with PBE-GGA.

Lattice parameters (Å, degrees): 4.405 5.317 7.427 93.37 91.11 91.55
Atoms (fractional coordinates):
Ac (0.000, 0.000, 0.000)
Dy (0.461, 0.469, 0.735)
Dy (0.539, 0.531, 0.265)
Sb (0.000, 0.000, 0.500)
O (0.076, 0.740, 0.292)
O (0.164, 0.800, 0.697)
O (0.361, 0.235, 0.467)
O (0.457, 0.274, 0.002)
O (0.543, 0.726, 0.998)
O (0.639, 0.765, 0.533)
O (0.836, 0.200, 0.303)
O (0.924, 0.260, 0.708)

space group = P-1
ΔE_f (raw) = -2.463 eV per atom
ρ = 7.67 Mg/m³


6.
A geometry-optimized AcDySbO6 structure, computed with PBE-GGA.

Lattice parameters (Å, degrees): 5.694 5.694 5.234 90.00 90.00 120.00
Atoms (fractional coordinates):
Ac (0.000, 0.000, 0.000)
Dy (0.333, 0.667, 0.500)
Sb (0.667, 0.333, 0.500)
O (0.377, 0.034, 0.715)
O (0.377, 0.344, 0.285)
O (0.656, 0.034, 0.285)
O (0.656, 0.623, 0.715)
O (0.966, 0.344, 0.715)
O (0.966, 0.623, 0.285)

space group = P312
ΔE_f (raw) = -2.432 eV per atom
ρ = 6.86 Mg/m³


7.
A geometry-optimized Ac2DySbO6 structure, computed with PBE-GGA.

Lattice parameters (Å, degrees): 6.685 8.438 5.997 90.00 90.00 90.00
Atoms (fractional coordinates):
Ac (0.250, 0.003, 0.235)
Ac (0.250, 0.497, 0.235)
Ac (0.750, 0.503, 0.765)
Ac (0.750, 0.997, 0.765)
Dy (0.250, 0.750, 0.723)
Dy (0.750, 0.250, 0.277)
Sb (0.250, 0.250, 0.783)
Sb (0.750, 0.750, 0.217)
O (0.052, 0.250, 0.080)
O (0.055, 0.750, 0.419)
O (0.250, 0.506, 0.839)
O (0.250, 0.994, 0.839)
O (0.445, 0.750, 0.419)
O (0.448, 0.250, 0.080)
O (0.552, 0.750, 0.920)
O (0.555, 0.250, 0.581)
O (0.750, 0.006, 0.161)
O (0.750, 0.494, 0.161)
O (0.945, 0.250, 0.581)
O (0.948, 0.750, 0.920)

space group = Pmmn
ΔE_f (raw) = -2.613 eV per atom
ρ = 8.19 Mg/m³


8.
A geometry-optimized Ac2DySbO8 structure, computed with PBE-GGA.

Lattice parameters (Å, degrees): 4.541 7.229 5.620 90.00 93.38 90.00
Atoms (fractional coordinates):
Ac (0.000, 0.247, 0.000)
Ac (0.000, 0.753, 0.000)
Dy (0.500, 0.500, 0.500)
Sb (0.500, 0.000, 0.500)
O (0.069, 0.000, 0.385)
O (0.081, 0.500, 0.255)
O (0.453, 0.208, 0.734)
O (0.453, 0.792, 0.734)
O (0.547, 0.208, 0.266)
O (0.547, 0.792, 0.266)
O (0.919, 0.500, 0.745)
O (0.931, 0.000, 0.615)

space group = P2/m
ΔE_f (raw) = -2.451 eV per atom
ρ = 7.81 Mg/m³


9.
A geometry-optimized Ac2DyScO6 structure, computed with PBE-GGA.

Lattice parameters (Å, degrees): 5.935 6.062 10.319 90.00 124.83 90.00
Atoms (fractional coordinates):
Ac (0.238, 0.044, 0.250)
Ac (0.238, 0.456, 0.750)
Ac (0.762, 0.544, 0.250)
Ac (0.762, 0.956, 0.750)
Dy (0.500, 0.000, 0.000)
Dy (0.500, 0.500, 0.500)
Sc (0.000, 0.000, 0.500)
Sc (0.000, 0.500, 0.000)
O (0.140, 0.211, 0.944)
O (0.140, 0.289, 0.444)
O (0.234, 0.698, 0.946)
O (0.234, 0.802, 0.446)
O (0.344, 0.038, 0.742)
O (0.344, 0.462, 0.242)
O (0.656, 0.538, 0.758)
O (0.656, 0.962, 0.258)
O (0.766, 0.198, 0.554)
O (0.766, 0.302, 0.054)
O (0.860, 0.711, 0.556)
O (0.860, 0.789, 0.056)

space group = P2_1/c
ΔE_f (raw) = -3.467 eV per atom
ρ = 8.25 Mg/m³


10.
A geometry-optimized AcDy2SeO8 structure, computed with PBE-GGA.

Lattice parameters (Å, degrees): 4.549 5.116 6.779 89.58 71.51 87.66
Atoms (fractional coordinates):
Ac (0.000, 0.000, 0.000)
Dy (0.360, 0.512, 0.295)
Dy (0.640, 0.488, 0.705)
Se (0.500, 0.000, 0.500)
O (0.215, 0.262, 0.612)
O (0.237, 0.749, 0.618)
O (0.241, 0.501, 0.002)
O (0.402, 0.992, 0.250)
O (0.598, 0.008, 0.750)
O (0.759, 0.499, 0.998)
O (0.763, 0.251, 0.382)
O (0.785, 0.738, 0.388)

space group = P-1
ΔE_f (raw) = -2.357 eV per atom
ρ = 8.43 Mg/m³


11.
A geometry-optimized AcDySeO6 structure, computed with PBE-GGA.

Lattice parameters (Å, degrees): 5.490 5.490 5.193 90.00 90.00 120.00
Atoms (fractional coordinates):
Ac (0.000, 0.000, 0.000)
Dy (0.333, 0.667, 0.500)
Se (0.667, 0.333, 0.500)
O (0.395, 0.055, 0.705)
O (0.395, 0.340, 0.295)
O (0.660, 0.055, 0.295)
O (0.660, 0.605, 0.705)
O (0.945, 0.340, 0.705)
O (0.945, 0.605, 0.295)

space group = P312
ΔE_f (raw) = -2.208 eV per atom
ρ = 6.91 Mg/m³


12.
A geometry-optimized AcDySeO2 structure, computed with PBE-GGA.

Lattice parameters (Å, degrees): 6.875 4.205 7.975 90.00 109.33 90.00
Atoms (fractional coordinates):
Ac (0.199, 0.250, 0.433)
Ac (0.801, 0.750, 0.567)
Dy (0.166, 0.250, 0.924)
Dy (0.834, 0.750, 0.076)
Se (0.453, 0.750, 0.759)
Se (0.547, 0.250, 0.241)
O (0.011, 0.750, 0.365)
O (0.019, 0.750, 0.894)
O (0.981, 0.250, 0.106)
O (0.989, 0.250, 0.635)

space group = P2_1/m
ΔE_f (raw) = -3.058 eV per atom
ρ = 7.64 Mg/m³